DFT (PBE with a Hubbard U) results for an optimized crystal structure of MnVIn2O6.

Cell: 5.389 5.282 5.704 Å, 62.89 60.57 61.86°
Each line ends with the local moment (μB).
Fractional positions:
In1 0.522 0.528 0.418  0.02
Mn1 0.820 0.811 0.558  4.08
O1 0.937 0.607 0.267  -0.05
O2 0.114 0.430 0.773  0.03
O3 0.193 0.944 0.270  -0.06
O4 0.442 0.696 0.761  -0.04
In2 0.024 0.024 0.916  0.02
O5 0.591 0.218 0.238  0.00
V1 0.318 0.310 0.057  1.83
O6 0.699 0.095 0.758  -0.05

Final energy, eV per atom: -6.6725
Space-group type: P1, No. 1